Computed, not measured: a relaxed PmDy5Y3 crystal at the PBE level of DFT.

Cell and atoms, written as POSCAR:
```
PmDy5Y3
1.0
6.326 0.000 0.000
-3.163 10.362 -5.235
0.000 -3.177 10.887
Pm Dy Y
2 10 6
direct
0.869 0.000 0.750 Pm
0.131 0.000 0.250 Pm
0.397 0.000 0.750 Dy
0.650 0.660 0.032 Dy
0.883 0.340 0.129 Dy
0.350 0.340 0.968 Dy
0.543 0.660 0.371 Dy
0.603 0.000 0.250 Dy
0.010 0.660 0.532 Dy
0.990 0.340 0.468 Dy
0.457 0.340 0.629 Dy
0.117 0.660 0.871 Dy
0.000 0.000 0.000 Y
0.469 0.321 0.306 Y
0.000 0.000 0.500 Y
0.531 0.679 0.694 Y
0.851 0.321 0.806 Y
0.149 0.679 0.194 Y
```

* mass density: 6.7 g cm⁻³
* energy above the lowest structure with this stoichiometry: 0.00 kJ/mol of atoms
* space group: C2/c
* magnetic moment: 0.0 μB per formula unit
* E: -88.924 eV per cell
* D(E_F): 12.540 states/eV/f.u.


Computed, not measured: a relaxed Pm2DyY5 crystal at the PBE level of DFT.

Cell and atoms, written as POSCAR:
```
Pm2DyY5
1.0
13.586 -3.946 3.910
-5.141 13.180 3.910
3.938 4.306 7.087
Pm Dy Y
4 2 10
direct
0.500 0.000 0.000 Pm
0.500 0.500 0.000 Pm
0.500 0.500 0.500 Pm
0.000 0.500 0.500 Pm
0.801 0.199 0.250 Dy
0.199 0.801 0.750 Dy
0.634 0.366 0.750 Y
0.366 0.634 0.250 Y
0.181 0.476 0.165 Y
0.883 0.014 0.128 Y
0.476 0.181 0.665 Y
0.986 0.117 0.372 Y
0.014 0.883 0.628 Y
0.117 0.986 0.872 Y
0.524 0.819 0.335 Y
0.819 0.524 0.835 Y
```

* mass density: 5.5 g cm⁻³
* energy above the lowest structure with this stoichiometry: 27.91 kJ/mol of atoms
* space group: C2/c
* magnetic moment: 0.0 μB per formula unit
* E: -87.905 eV per cell
* D(E_F): 12.849 states/eV/f.u.


Computed, not measured: a relaxed Pm4DyY6 crystal at the PBE level of DFT.

Cell and atoms, written as POSCAR:
```
Pm4DyY6
1.0
-1.415 3.108 -1.119
2.032 -2.818 -10.397
-9.563 -2.685 4.638
Pm Dy Y
4 1 6
direct
0.500 0.841 0.682 Pm
0.500 0.318 0.159 Pm
0.500 0.841 0.159 Pm
0.000 0.333 0.667 Pm
0.000 0.000 0.000 Dy
0.000 0.522 0.044 Y
0.500 0.633 0.816 Y
0.000 0.522 0.478 Y
0.000 0.956 0.478 Y
0.500 0.184 0.816 Y
0.500 0.184 0.367 Y
```

* mass density: 5.7 g cm⁻³
* energy above the lowest structure with this stoichiometry: 4.46 kJ/mol of atoms
* space group: P-6m2
* magnetic moment: 0.0 μB per formula unit
* E: -60.609 eV per cell
* D(E_F): 17.393 states/eV/f.u.


Computed, not measured: a relaxed PmDyY6 crystal at the PBE level of DFT.

Cell and atoms, written as POSCAR:
```
PmDyY6
1.0
-2.753 5.787 2.271
2.353 -1.231 6.014
4.135 5.512 1.242
Pm Dy Y
1 1 6
direct
0.000 0.000 0.000 Pm
0.000 0.500 0.000 Dy
0.093 0.767 0.483 Y
0.571 0.730 0.523 Y
0.429 0.270 0.477 Y
0.907 0.233 0.517 Y
0.545 0.748 0.002 Y
0.455 0.252 0.998 Y
```

* mass density: 5.3 g cm⁻³
* energy above the lowest structure with this stoichiometry: 4.79 kJ/mol of atoms
* space group: P-1
* magnetic moment: 0.0 μB per formula unit
* E: -46.516 eV per cell
* D(E_F): 14.892 states/eV/f.u.